# 1
DFT (PBE) results for a geometry-optimized Ba2TlZn3Ag4 structure.

Cell lengths 4.7443, 4.7443, 11.2576 Å; angles 90.00, 90.00, 90.00 degrees
Last column: nearest neighbours and their distance in Å.
Space group P-4m2 (No. 115)
Asymmetric unit:
Ba1 0.0000 0.5000 0.2404  8 Ag 3.58-3.60, 7 Zn 3.64-4.00, 2 Tl 3.76
Tl1 0.0000 0.0000 0.5000  4 Ag 2.90
Zn1 0.0000 0.5000 0.8855  5 Ag 2.67-2.70
Zn2 0.5000 0.5000 0.5000  4 Ag 2.90
Ag1 0.0000 0.0000 0.0000  4 Zn 2.70
Ag2 0.0000 0.5000 0.6479  3 Zn 2.67-2.90, 2 Tl 2.90
Ag3 0.5000 0.5000 0.0000  4 Zn 2.70

**Calculated total energy**: -2.327 eV per atom
**D(E_F)**: 0.5872 states/eV per atom
**Total moment**: 0.00 Bohr magnetons per cell
**Calculated formation energy**: -0.18 eV/atom

# 2
DFT (PBE) results for a geometry-optimized TbGa3Cu structure.

Cell lengths 4.1350, 4.1350, 10.6116 Å; angles 90.00, 90.00, 90.00 degrees
Last column: nearest neighbours and their distance in Å.
Space group I4mm (No. 107)
Asymmetric unit:
Tb1 0.0000 0.0000 0.0000  12 Ga 3.09-3.37, 4 Cu 3.22
Ga1 0.0000 0.0000 0.5946  1 Cu 2.35
Ga2 0.0000 0.5000 0.2506  2 Cu 2.45, 2 Ga 2.65
Cu1 0.0000 0.0000 0.3736  5 Ga 2.35-2.45

**Calculated total energy**: -4.048 eV per atom
**D(E_F)**: 0.3451 states/eV per atom
**Energy relative to the lowest polymorph listed for this composition**: 0 meV per atom
**Total moment**: 0.00 Bohr magnetons per cell
**Calculated formation energy**: -0.49 eV/atom